Entry 1:
Here is crystalline KMgSi at its relaxed geometry from the Alexandria database. Energies are from PBE-GGA.

The polymorph energy (0 for the lowest one) is 0 meV per atom. Its calculated volume is 172.48 Å³ per cell. The density of states at the Fermi level is 2.278 states/eV/f.u. The total energy is -2.669 eV per atom.

It has space group P4/nmm (No. 129, origin choice 2), with a = 4.6472 Å, b = 4.6472 Å, c = 7.9866 Å, α = 90.00°, β = 90.00° and γ = 90.00°. The distinct sites, in fractional coordinates, are K at (0.2500, 0.2500, 0.1462), Mg at (0.2500, 0.7500, 0.5000) and Si at (0.2500, 0.2500, 0.6862).

Entry 2:
Here is crystalline KMgSi2 at its relaxed geometry from the Alexandria database. Energies are from PBE-GGA.

Its calculated volume is 216.16 Å³ per cell. The density of states at the Fermi level is 0.667 states/eV/f.u. The total energy is -3.335 eV per atom.

It has space group Imm2 (No. 44), with a = 3.6722 Å, b = 4.3112 Å, c = 13.6540 Å, α = 90.00°, β = 90.00° and γ = 90.00°. The distinct sites, in fractional coordinates, are K at (0.0000, 0.0000, 0.0000), Mg at (0.0000, 0.5000, 0.2367), Si at (0.0000, 0.0000, 0.3548) and Si at (0.0000, 0.5000, 0.7401).

Entry 3:
Here is crystalline K2MgSi at its relaxed geometry from the Alexandria database. Energies are from PBE-GGA.

Its calculated volume is 134.91 Å³ per cell. The density of states at the Fermi level is 3.125 states/eV/f.u. The total energy is -1.812 eV per atom.

It has space group P4/mmm (No. 123), with a = 6.2429 Å, b = 6.2429 Å, c = 3.4617 Å, α = 90.00°, β = 90.00° and γ = 90.00°. The distinct sites, in fractional coordinates, are K at (0.0000, 0.5000, 0.0000), Mg at (0.0000, 0.0000, 0.5000) and Si at (0.5000, 0.5000, 0.5000).

Entry 4:
Here is crystalline K2MgSi at its relaxed geometry from the Alexandria database. Energies are from PBE-GGA.

Its calculated volume is 541.18 Å³ per cell. The density of states at the Fermi level is 3.358 states/eV/f.u. The total energy is -1.814 eV per atom.

It has space group Fm-3m (No. 225), with a = 8.1492 Å, b = 8.1492 Å, c = 8.1492 Å, α = 90.00°, β = 90.00° and γ = 90.00°. The distinct sites, in fractional coordinates, are K at (0.2500, 0.2500, 0.2500), Mg at (0.0000, 0.0000, 0.0000) and Si at (0.0000, 0.0000, 0.5000).

Entry 5:
Here is crystalline K2MgSi at its relaxed geometry from the Alexandria database. Energies are from PBE-GGA.

Its calculated volume is 123.26 Å³ per cell. The density of states at the Fermi level is 2.642 states/eV/f.u. The total energy is -1.878 eV per atom.

It has space group P4/mmm (No. 123), with a = 4.6784 Å, b = 4.6784 Å, c = 5.6314 Å, α = 90.00°, β = 90.00° and γ = 90.00°. The distinct sites, in fractional coordinates, are K at (0.0000, 0.5000, 0.0000), Mg at (0.0000, 0.0000, 0.5000) and Si at (0.5000, 0.5000, 0.5000).

Entry 6:
Here is crystalline KMgSi2 at its relaxed geometry from the Alexandria database. Energies are from PBE-GGA.

Its calculated volume is 195.92 Å³ per cell. The density of states at the Fermi level is 1.811 states/eV/f.u. The total energy is -3.187 eV per atom.

It has space group Amm2 (No. 38), with a = 3.9378 Å, b = 3.2001 Å, c = 15.5471 Å, α = 90.00°, β = 90.00° and γ = 90.00°. The distinct sites, in fractional coordinates, are K at (0.0000, 0.0000, 0.0000), Mg at (0.5000, 0.0000, 0.6900), Si at (0.0000, 0.0000, 0.2633) and Si at (0.5000, 0.0000, 0.3555).

Entry 7:
Here is crystalline KMgSi2 at its relaxed geometry from the Alexandria database. Energies are from PBE-GGA.

Its calculated volume is 198.26 Å³ per cell. The density of states at the Fermi level is 1.748 states/eV/f.u. The total energy is -3.233 eV per atom.

It has space group C2/m (No. 12), with a = 9.2633 Å, b = 3.0889 Å, c = 7.0080 Å, α = 90.00°, β = 98.62° and γ = 90.00°. The distinct sites, in fractional coordinates, are K at (0.0000, 0.0000, 0.0000), Mg at (0.0000, 0.5000, 0.5000) and Si at (0.2410, 0.0000, 0.6467).

Entry 8:
Here is crystalline KMgSi2 at its relaxed geometry from the Alexandria database. Energies are from PBE-GGA.

Its calculated volume is 96.23 Å³ per cell. The density of states at the Fermi level is 2.154 states/eV/f.u. The total energy is -3.245 eV per atom.

It has space group P4/mmm (No. 123), with a = 3.6326 Å, b = 3.6326 Å, c = 7.2925 Å, α = 90.00°, β = 90.00° and γ = 90.00°. The distinct sites, in fractional coordinates, are K at (0.0000, 0.0000, 0.0000), Mg at (0.0000, 0.0000, 0.5000) and Si at (0.5000, 0.5000, 0.3364).

no.,formation energy from raw total energies (meV per atom)
1,36
2,50
3,492
4,489
5,425
6,197
7,152
8,140